The following is a DFT calculation (PBE-GGA) of crystalline PmBiAu3 at its relaxed geometry.

The value obtained for the total energy is -4.1789 eV per atom. As for the space group: No. 63.

abc: 14.1514 14.1514 4.6662
angles: 90.00 90.00 165.16
Sites, in units of the cell vectors:
1 Pm 0.0745 0.9255 0.7500
2 Pm 0.9255 0.0745 0.2500
3 Bi 0.2095 0.7905 0.2500
4 Bi 0.7905 0.2095 0.7500
5 Au 0.3218 0.6782 0.2500
6 Au 0.3784 0.6216 0.7500
7 Au 0.4751 0.5249 0.7500
8 Au 0.5249 0.4751 0.2500
9 Au 0.6216 0.3784 0.2500
10 Au 0.6782 0.3218 0.7500